## KRu2Br (PBE)

Data for a geometry-optimized KRu2Br structure.

Properties
The calculation puts the density at 5.8 g cm⁻³. The uncorrected formation energy comes out at 1.18 eV/atom. The distance to the lowest polymorph of the same formula comes out at 3.470 eV per formula unit.

Cell: 7.214 7.214 2.556 Å, 90.00 90.00 135.89°
Sites, in units of the cell vectors:
K 0.000 0.000 0.000
Ru 0.000 0.500 0.500
Ru 0.500 0.000 0.500
Br 0.500 0.500 0.000